VASP calculation (GGA-PBE) on a geometry-optimized LaCe2CoPt structure.

Unit cell a=4.907 b=4.907 c=5.923 alpha=90.00 beta=90.00 gamma=90.00
Space group P4mm (No. 99)
Asymmetric unit:
1 La 0.000 0.000 0.000 x1
2 Ce 0.000 0.500 0.458 x2
3 Co 0.000 0.000 0.512 x1
4 Pt 0.500 0.500 0.166 x1

Properties
**Crystal system**: tetragonal
**Density of states at the Fermi level**: 10.989 states/eV per cell
**Formation energy**: -0.291 eV per atom

***

VASP calculation (GGA-PBE) on a geometry-optimized Er8CdGa2 structure.

Unit cell a=17.587 b=4.937 c=7.094 alpha=90.00 beta=104.25 gamma=90.00
Space group C2/m (No. 12)
Asymmetric unit:
1 Er 0.030 0.000 0.252 x4
2 Er 0.093 0.500 0.967 x4
3 Er 0.168 0.500 0.453 x4
4 Er 0.195 0.000 0.801 x4
5 Cd 0.000 0.500 0.500 x2
6 Ga 0.196 0.000 0.216 x4

Properties
**Crystal system**: monoclinic
**Density of states at the Fermi level**: 22.759 states/eV per cell
**Formation energy**: -0.232 eV per atom

***

VASP calculation (GGA-PBE) on a geometry-optimized CsHgPbS2 structure.

Unit cell a=8.283 b=6.450 c=7.503 alpha=90.00 beta=113.97 gamma=90.00
Space group P2/c (No. 13)
Asymmetric unit:
1 Cs 0.000 0.246 0.250 x2
2 Hg 0.500 0.000 0.000 x2
3 Pb 0.500 0.427 0.750 x2
4 S 0.274 0.316 0.981 x4

Properties
**Crystal system**: monoclinic
**Uncorrected formation energy**: -0.405 eV/atom
**Density of states at the Fermi level**: 6.695 states/eV per cell